Computed, not measured: a geometry-optimized Au2BrF4 structure at the PBE-GGA level of DFT.

abc: 7.6673 7.6673 7.6673
angles: 146.80 146.80 47.66
Sites, in units of the cell vectors:
Au 0.1499 0.1499 0.0000
Au 0.8501 0.8501 0.0000
Br 0.5000 0.5000 0.0000
F 0.0000 0.5000 0.5000
F 0.2952 0.2952 0.0000
F 0.5000 0.0000 0.5000
F 0.7048 0.7048 0.0000

Properties
M_tot ... 0.1416 μB/atom
E_tot ... -2.401 eV/atom
Space-group type ... I4/mmm (139)